{"formula": "Tb2Er4Tm7", "functional": "PBE", "state": "optimized geometry", "crystal_system": "triclinic", "magnetic_moment_mub_per_fu": 0.00, "e_form_kj_per_mol_atoms": 2, "energy_ev_per_atom": -4.50, "space_group": "P-1", "lattice": [[6.055, 0.000, 0.000], [0.995, 7.749, 0.000], [0.990, 3.804, 8.368]], "species": ["Tb", "Tb", "Er", "Er", "Er", "Er", "Tm", "Tm", "Tm", "Tm", "Tm", "Tm", "Tm"], "frac_coords": [[0.154, 0.193, 0.384], [0.846, 0.807, 0.616], [0.308, 0.885, 0.770], [0.462, 0.578, 0.153], [0.538, 0.422, 0.847], [0.692, 0.115, 0.230], [0.000, 0.500, 0.000], [0.077, 0.346, 0.693], [0.231, 0.038, 0.077], [0.384, 0.730, 0.461], [0.616, 0.270, 0.539], [0.769, 0.962, 0.923], [0.923, 0.654, 0.307]]}


{"formula": "Tb4Er2Tm7", "functional": "PBE", "state": "optimized geometry", "crystal_system": "trigonal", "magnetic_moment_mub_per_fu": 0.00, "e_form_kj_per_mol_atoms": 16, "energy_ev_per_atom": -4.36, "space_group": "P-31m", "lattice": [[5.984, 0.000, 0.000], [-2.992, 5.183, 0.000], [0.000, 0.000, 13.155]], "species": ["Tb", "Tb", "Tb", "Tb", "Er", "Er", "Tm", "Tm", "Tm", "Tm", "Tm", "Tm", "Tm"], "frac_coords": [[0.000, 0.000, 0.107], [0.000, 0.000, 0.893], [0.333, 0.667, 0.000], [0.667, 0.333, 0.000], [0.333, 0.667, 0.500], [0.667, 0.333, 0.500], [0.000, 0.000, 0.500], [0.000, 0.352, 0.713], [0.000, 0.648, 0.287], [0.352, 0.000, 0.713], [0.352, 0.352, 0.287], [0.648, 0.000, 0.287], [0.648, 0.648, 0.713]]}


{"formula": "Tb2ErTm6", "functional": "PBE", "state": "optimized geometry", "crystal_system": "tetragonal", "magnetic_moment_mub_per_fu": 0.00, "e_form_kj_per_mol_atoms": 2, "energy_ev_per_atom": -4.49, "space_group": "P4_2/mnm", "lattice": [[10.488, 0.000, 0.000], [0.000, 10.488, 0.000], [0.000, 0.000, 4.960]], "species": ["Tb", "Tb", "Tb", "Tb", "Er", "Er", "Tm", "Tm", "Tm", "Tm", "Tm", "Tm", "Tm", "Tm", "Tm", "Tm", "Tm", "Tm"], "frac_coords": [[0.167, 0.167, 0.000], [0.333, 0.667, 0.500], [0.667, 0.333, 0.500], [0.833, 0.833, 0.000], [0.000, 0.000, 0.500], [0.500, 0.500, 0.000], [0.001, 0.334, 0.500], [0.166, 0.501, 0.000], [0.167, 0.833, 0.000], [0.333, 0.333, 0.500], [0.334, 0.001, 0.500], [0.499, 0.834, 0.000], [0.501, 0.166, 0.000], [0.666, 0.999, 0.500], [0.667, 0.667, 0.500], [0.833, 0.167, 0.000], [0.834, 0.499, 0.000], [0.999, 0.666, 0.500]]}


{"formula": "Tb3Er3Tm8", "functional": "PBE", "state": "optimized geometry", "crystal_system": "orthorhombic", "magnetic_moment_mub_per_fu": 0.00, "e_form_kj_per_mol_atoms": 12, "energy_ev_per_atom": -4.40, "space_group": "Immm", "lattice": [[-2.765, 5.321, 7.359], [2.765, -5.321, 7.359], [2.765, 5.321, -7.359]], "species": ["Tb", "Tb", "Tb", "Er", "Er", "Er", "Tm", "Tm", "Tm", "Tm", "Tm", "Tm", "Tm", "Tm"], "frac_coords": [[0.000, 0.000, 0.000], [0.297, 0.000, 0.297], [0.703, 0.000, 0.703], [0.317, 0.817, 0.500], [0.500, 0.500, 0.000], [0.683, 0.183, 0.500], [0.053, 0.396, 0.658], [0.064, 0.222, 0.841], [0.262, 0.604, 0.658], [0.381, 0.222, 0.159], [0.619, 0.778, 0.841], [0.738, 0.396, 0.342], [0.936, 0.778, 0.159], [0.947, 0.604, 0.342]]}


{"formula": "TbErTm", "functional": "PBE", "state": "optimized geometry", "crystal_system": "tetragonal", "magnetic_moment_mub_per_fu": 0.00, "e_form_kj_per_mol_atoms": 2, "energy_ev_per_atom": -4.53, "space_group": "I4mm", "lattice": [[3.506, 0.000, 0.000], [0.000, 3.506, 0.000], [0.000, 0.000, 14.939]], "species": ["Tb", "Tb", "Er", "Er", "Tm", "Tm"], "frac_coords": [[0.000, 0.000, 0.000], [0.500, 0.500, 0.500], [0.000, 0.000, 0.332], [0.500, 0.500, 0.832], [0.000, 0.000, 0.667], [0.500, 0.500, 0.167]]}


{"formula": "TbEr4Tm7", "functional": "PBE", "state": "optimized geometry", "crystal_system": "monoclinic", "magnetic_moment_mub_per_fu": 0.01, "e_form_kj_per_mol_atoms": 29, "energy_ev_per_atom": -4.21, "space_group": "C2/m", "lattice": [[5.958, -2.877, 0.000], [5.958, 2.877, 0.000], [-5.915, 0.000, 11.000]], "species": ["Tb", "Er", "Er", "Er", "Er", "Tm", "Tm", "Tm", "Tm", "Tm", "Tm", "Tm"], "frac_coords": [[0.000, 0.000, 0.000], [0.246, 0.246, 0.682], [0.365, 0.365, 0.226], [0.635, 0.635, 0.774], [0.754, 0.754, 0.318], [0.061, 0.061, 0.323], [0.212, 0.212, 0.924], [0.365, 0.365, 0.499], [0.500, 0.500, 0.000], [0.635, 0.635, 0.501], [0.788, 0.788, 0.076], [0.939, 0.939, 0.677]]}